(1)
Material: MnSnI2N
Method: DFT, PBE
State: optimized geometry

Properties
M_tot, Bohr magnetons per cell: 0.0
Theoretical density, g/cm3: 6.41
ΔE_f (raw), kJ per mole of atoms: 29.8
Polymorph energy (0 for the lowest one), eV/atom: 0.0000

a = 5.676 Å, b = 5.676 Å, c = 3.547 Å
α = 90.00°, β = 90.00°, γ = 90.00°
Element x y z (fractional)
1 N 0.000 0.000 0.500
2 I 0.000 0.500 0.000
3 I 0.500 0.000 0.000
4 Sn 0.500 0.500 0.500
5 Mn 0.000 0.000 0.000

(2)
Material: MnSnI2N
Method: DFT, PBE
State: optimized geometry

Properties
M_tot, Bohr magnetons per cell: 5.1
Theoretical density, g/cm3: 5.05
ΔE_f (raw), kJ per mole of atoms: 76.5
Polymorph energy (0 for the lowest one), eV/atom: 0.4832

a = 6.123 Å, b = 6.123 Å, c = 3.873 Å
α = 90.00°, β = 90.00°, γ = 90.00°
Each line ends with the local moment (μB).
Element x y z (fractional)
1 I 0.500 0.000 0.000  0.02
2 I 0.000 0.500 0.000  0.02
3 Sn 0.000 0.000 0.000  0.00
4 Mn 0.500 0.500 0.500  4.48
5 N 0.000 0.000 0.500  0.01

(3)
Material: MnSnIN2
Method: DFT, PBE
State: optimized geometry

Properties
M_tot, Bohr magnetons per cell: 6.1
Theoretical density, g/cm3: 4.94
ΔE_f (raw), kJ per mole of atoms: 129.3
Polymorph energy (0 for the lowest one), eV/atom: 0.2776

a = 4.144 Å, b = 4.144 Å, c = 6.428 Å
α = 90.00°, β = 90.00°, γ = 90.00°
Each line ends with the local moment (μB).
Element x y z (fractional)
1 I 0.000 0.000 0.500  0.02
2 Mn 0.500 0.500 0.500  4.27
3 N 0.000 0.500 0.000  0.50
4 N 0.500 0.000 0.000  0.50
5 Sn 0.000 0.000 0.000  -0.04

M_tot of number 2 (MnSnI2N)? 5.1 Bohr magnetons per cell